# 1
# Pm2PuSnN, relaxed, DFT GGA-PBE
# - Formation energy from raw total energies: -0.90 eV per atom
# - Density of states at the Fermi level: 6.7 states/eV/cell
# - Magnetization: 1.19 μB per atom
data_Pm2PuSnN
_chemical_formula_sum 'Pm2 Pu1 Sn1 N1'
_cell_length_a 5.020
_cell_length_b 5.020
_cell_length_c 4.732
_cell_angle_alpha 90.00
_cell_angle_beta 90.00
_cell_angle_gamma 90.00
_space_group_name_H-M_alt 'P 4/m m m'
_space_group_IT_number 123
_space_group_name_Hall '-P 4 2'
loop_
_atom_site_label
_atom_site_type_symbol
_atom_site_fract_x
_atom_site_fract_y
_atom_site_fract_z
_atom_site_occupancy
Pm1 Pm 0.000 0.500 0.000 1
Pu1 Pu 0.000 0.000 0.500 1
Sn1 Sn 0.500 0.500 0.500 1
N1 N 0.000 0.000 0.000 1

---

# 2
# PuInAg4, relaxed, DFT GGA-PBE
# - Formation energy: -0.048 eV per atom
# - Density of states at the Fermi level: 61.9 states/eV/cell
# - Magnetization: 0.93 μB per atom
data_PuInAg4
_chemical_formula_sum 'Pu4 In4 Ag16'
_cell_length_a 7.976
_cell_length_b 7.976
_cell_length_c 7.976
_cell_angle_alpha 90.00
_cell_angle_beta 90.00
_cell_angle_gamma 90.00
_space_group_name_H-M_alt 'F -4 3 m'
_space_group_IT_number 216
_space_group_name_Hall 'F -4 2 3'
loop_
_atom_site_label
_atom_site_type_symbol
_atom_site_fract_x
_atom_site_fract_y
_atom_site_fract_z
_atom_site_occupancy
Pu1 Pu 0.000 0.000 0.000 1
In1 In 0.250 0.250 0.250 1
Ag1 Ag 0.125 0.125 0.625 1

---

# 3
# HfTi2Hg2, relaxed, DFT GGA-PBE
# - Offset from the most stable computed form: 104 meV per atom
# - Formation energy: 0.123 eV per atom
# - Density of states at the Fermi level: 12.0 states/eV/cell
# - Magnetization: 0.52 μB per atom
data_HfTi2Hg2
_chemical_formula_sum 'Hf2 Ti4 Hg4'
_cell_length_a 7.763
_cell_length_b 7.763
_cell_length_c 3.345
_cell_angle_alpha 90.00
_cell_angle_beta 90.00
_cell_angle_gamma 90.00
_space_group_name_H-M_alt 'P 4/m b m'
_space_group_IT_number 127
_space_group_name_Hall '-P 4 2ab'
loop_
_atom_site_label
_atom_site_type_symbol
_atom_site_fract_x
_atom_site_fract_y
_atom_site_fract_z
_atom_site_occupancy
Hf1 Hf 0.000 0.000 0.000 1
Ti1 Ti 0.171 0.329 0.500 1
Hg1 Hg 0.131 0.631 0.000 1